# TbNdTm6 PBE relaxed
data_TbNdTm6
_cell_length_a 7.0409
_cell_length_b 7.0409
_cell_length_c 4.9703
_cell_angle_alpha 90.00
_cell_angle_beta 90.00
_cell_angle_gamma 90.00
_space_group_name_H-M_alt 'P 4/m m m'
_space_group_IT_number 123
_space_group_name_Hall '-P 4 2'
loop_
_atom_site_label
_atom_site_type_symbol
_atom_site_fract_x
_atom_site_fract_y
_atom_site_fract_z
Tb1 Tb 0.0000 0.0000 0.0000
Nd1 Nd 0.5000 0.5000 0.0000
Tm1 Tm 0.0000 0.5000 0.0000
Tm2 Tm 0.2485 0.2485 0.5000
# - energy of formation from the pure elements (kJ/mol of atoms) = 2.4
# - energy relative to the lowest polymorph listed for this composition (meV/atom) = 0
# - ρ (g/cm3) = 8.9